1.
Mn3TcBr2O6 | PBE+U | relaxed

The structure in CIF format:
```
data_Mn3TcBr2O6
_chemical_formula_sum 'Mn6 Tc2 Br4 O12'
_cell_length_a 10.2391
_cell_length_b 6.2235
_cell_length_c 5.8657
_cell_angle_alpha 90.00
_cell_angle_beta 105.37
_cell_angle_gamma 90.00
_symmetry_space_group_name_H-M 'C 1 2/m 1'
_symmetry_Int_Tables_number 12
loop_
_symmetry_equiv_pos_as_xyz
'x,y,z'
'-x,-y,-z'
'-x,y,-z'
'x,-y,z'
'x+1/2,y+1/2,z'
'-x+1/2,-y+1/2,-z'
'-x+1/2,y+1/2,-z'
'x+1/2,-y+1/2,z'
loop_
_atom_site_label
_atom_site_fract_x
_atom_site_fract_y
_atom_site_fract_z
Mn1 0.0000 0.0000 0.0000
Mn2 0.2500 0.2500 0.5000
Tc1 0.0000 0.5000 0.5000
Br1 0.2149 0.0000 0.8459
O1 0.0593 0.2732 0.3177
O2 0.2024 0.5000 0.6583
```

total magnetization: 28.01 Bohr magnetons per cell
volume: 15.0 Å³ per atom
total energy: -6.6051 eV per atom

=====

2.
Mn3TeBr2O6 | PBE+U | relaxed

The structure in CIF format:
```
data_Mn3TeBr2O6
_chemical_formula_sum 'Mn6 Te2 Br4 O12'
_cell_length_a 10.3738
_cell_length_b 6.2923
_cell_length_c 6.0089
_cell_angle_alpha 90.00
_cell_angle_beta 101.87
_cell_angle_gamma 90.00
_symmetry_space_group_name_H-M 'C 1 2/m 1'
_symmetry_Int_Tables_number 12
loop_
_symmetry_equiv_pos_as_xyz
'x,y,z'
'-x,-y,-z'
'-x,y,-z'
'x,-y,z'
'x+1/2,y+1/2,z'
'-x+1/2,-y+1/2,-z'
'-x+1/2,y+1/2,-z'
'x+1/2,-y+1/2,z'
loop_
_atom_site_label
_atom_site_fract_x
_atom_site_fract_y
_atom_site_fract_z
Mn1 0.0000 0.0000 0.0000
Mn2 0.2500 0.2500 0.5000
Te1 0.0000 0.5000 0.5000
Br1 0.2069 0.0000 0.8493
O1 0.0674 0.2720 0.3256
O2 0.1918 0.5000 0.6564
```

total magnetization: 26.00 Bohr magnetons per cell
volume: 16.0 Å³ per atom
total energy: -5.9415 eV per atom

=====

3.
Mn2TeBrO | PBE+U | relaxed

The structure in CIF format:
```
data_Mn2TeBrO
_chemical_formula_sum 'Mn2 Te1 Br1 O1'
_cell_length_a 5.5658
_cell_length_b 5.5658
_cell_length_c 5.5400
_cell_angle_alpha 90.00
_cell_angle_beta 90.00
_cell_angle_gamma 90.00
_symmetry_space_group_name_H-M 'P 4/m m m'
_symmetry_Int_Tables_number 123
_symmetry_space_group_name_Hall '-P 4 2'
loop_
_atom_site_label
_atom_site_fract_x
_atom_site_fract_y
_atom_site_fract_z
Mn1 0.0000 0.5000 0.0000
Te1 0.0000 0.0000 0.0000
Br1 0.0000 0.0000 0.5000
O1 0.5000 0.5000 0.5000
```

total magnetization: 9.66 Bohr magnetons per cell
volume: 34.3 Å³ per atom
total energy: -4.0833 eV per atom

=====

4.
Ti2Mn2Br2O5 | PBE+U | relaxed

The structure in CIF format:
```
data_Ti2Mn2Br2O5
_chemical_formula_sum 'Ti4 Mn4 Br4 O10'
_cell_length_a 3.7184
_cell_length_b 3.7184
_cell_length_c 27.4168
_cell_angle_alpha 90.00
_cell_angle_beta 90.00
_cell_angle_gamma 90.00
_symmetry_space_group_name_H-M 'I 4/m m m'
_symmetry_Int_Tables_number 139
_symmetry_space_group_name_Hall '-I 4 2'
loop_
_atom_site_label
_atom_site_fract_x
_atom_site_fract_y
_atom_site_fract_z
Ti1 0.0000 0.0000 0.0661
Mn1 0.0000 0.0000 0.3658
Br1 0.0000 0.0000 0.1855
O1 0.0000 0.0000 0.0000
O2 0.0000 0.5000 0.0862
```

total magnetization: 20.00 Bohr magnetons per cell
volume: 17.2 Å³ per atom
total energy: -7.5369 eV per atom

=====

5.
MnTlBrO5 | PBE+U | relaxed

The structure in CIF format:
```
data_MnTlBrO5
_chemical_formula_sum 'Mn4 Tl4 Br4 O20'
_cell_length_a 7.8923
_cell_length_b 9.1958
_cell_length_c 7.7043
_cell_angle_alpha 90.00
_cell_angle_beta 114.01
_cell_angle_gamma 90.00
_symmetry_space_group_name_H-M 'C 1 2/c 1'
_symmetry_Int_Tables_number 15
loop_
_symmetry_equiv_pos_as_xyz
'x,y,z'
'-x,-y,-z'
'-x,y,-z+1/2'
'x,-y,z+1/2'
'x+1/2,y+1/2,z'
'-x+1/2,-y+1/2,-z'
'-x+1/2,y+1/2,-z+1/2'
'x+1/2,-y+1/2,z+1/2'
loop_
_atom_site_label
_atom_site_fract_x
_atom_site_fract_y
_atom_site_fract_z
Mn1 0.0000 0.2009 0.2500
Tl1 0.0000 0.5000 0.0000
Br1 0.0000 0.2058 0.7500
O1 0.0000 0.4064 0.2500
O2 0.0520 0.2485 0.0205
O3 0.1857 0.0961 0.3598
```

total magnetization: 4.59 Bohr magnetons per cell
volume: 16.0 Å³ per atom
total energy: -4.8290 eV per atom

=====

6.
UMn3Br2O6 | PBE+U | relaxed

The structure in CIF format:
```
data_UMn3Br2O6
_chemical_formula_sum 'U2 Mn6 Br4 O12'
_cell_length_a 10.9495
_cell_length_b 6.3525
_cell_length_c 5.8223
_cell_angle_alpha 90.00
_cell_angle_beta 105.03
_cell_angle_gamma 90.00
_symmetry_space_group_name_H-M 'C 1 2/m 1'
_symmetry_Int_Tables_number 12
loop_
_symmetry_equiv_pos_as_xyz
'x,y,z'
'-x,-y,-z'
'-x,y,-z'
'x,-y,z'
'x+1/2,y+1/2,z'
'-x+1/2,-y+1/2,-z'
'-x+1/2,y+1/2,-z'
'x+1/2,-y+1/2,z'
loop_
_atom_site_label
_atom_site_fract_x
_atom_site_fract_y
_atom_site_fract_z
U1 0.0000 0.0000 0.0000
Mn1 0.0000 0.5000 0.5000
Mn2 0.2500 0.2500 0.0000
Br1 0.1996 0.5000 0.3403
O1 0.0685 0.2359 0.8175
O2 0.2063 0.0000 0.1497
```

total magnetization: 6.00 Bohr magnetons per cell
volume: 16.3 Å³ per atom
total energy: -7.3719 eV per atom

=====

7.
Mn2VBrO | PBE+U | relaxed

The structure in CIF format:
```
data_Mn2VBrO
_chemical_formula_sum 'Mn2 V1 Br1 O1'
_cell_length_a 5.4878
_cell_length_b 5.4878
_cell_length_c 3.7168
_cell_angle_alpha 90.00
_cell_angle_beta 90.00
_cell_angle_gamma 90.00
_symmetry_space_group_name_H-M 'P 4/m m m'
_symmetry_Int_Tables_number 123
_symmetry_space_group_name_Hall '-P 4 2'
loop_
_atom_site_label
_atom_site_fract_x
_atom_site_fract_y
_atom_site_fract_z
Mn1 0.0000 0.5000 0.0000
V1 0.0000 0.0000 0.0000
Br1 0.5000 0.5000 0.5000
O1 0.0000 0.0000 0.5000
```

total magnetization: 8.02 Bohr magnetons per cell
volume: 22.4 Å³ per atom
total energy: -5.8084 eV per atom

=====

8.
MnVBrO2 | PBE+U | relaxed

The structure in CIF format:
```
data_MnVBrO2
_chemical_formula_sum 'Mn1 V1 Br1 O2'
_cell_length_a 4.2545
_cell_length_b 4.2545
_cell_length_c 4.7990
_cell_angle_alpha 90.00
_cell_angle_beta 90.00
_cell_angle_gamma 90.00
_symmetry_space_group_name_H-M 'P 4/m m m'
_symmetry_Int_Tables_number 123
_symmetry_space_group_name_Hall '-P 4 2'
loop_
_atom_site_label
_atom_site_fract_x
_atom_site_fract_y
_atom_site_fract_z
Mn1 0.0000 0.0000 0.0000
V1 0.5000 0.5000 0.0000
Br1 0.0000 0.0000 0.5000
O1 0.0000 0.5000 0.5000
```

total magnetization: 1.02 Bohr magnetons per cell
volume: 17.4 Å³ per atom
total energy: -4.2645 eV per atom